Entry 1:
A geometry-optimized TbPrAu6 structure. Source: OQMD via LeMat-Bulk, functional PBE.

Cell and atoms, written as POSCAR:
```
TbPrAu6
1.0
5.0906 0.0000 0.0000
0.0000 6.3019 0.0000
0.0000 0.0000 5.1853
Tb Pr Au
1 1 6
Cartesian
0.0000 0.0000 0.0000
2.5453 3.1509 3.5629
0.0000 1.5789 2.6181
0.0000 3.1509 0.1181
0.0000 4.7230 2.6181
2.5453 0.0000 3.5191
2.5453 1.4805 0.9507
2.5453 4.8214 0.9507
```

Results
Energy of formation from the pure elements ... -0.688 eV per atom

---

Entry 2:
A geometry-optimized TlFeCoTc structure. Source: OQMD via LeMat-Bulk, functional PBE.

Cell and atoms, written as POSCAR:
```
TlFeCoTc
1.0
0.0000 3.0849 3.0849
3.0849 0.0000 3.0849
3.0849 3.0849 0.0000
Tl Fe Co Tc
1 1 1 1
Cartesian
0.0000 0.0000 0.0000
4.6273 4.6273 4.6273
1.5424 1.5424 1.5424
3.0849 3.0849 3.0849
```

---

Entry 3:
A geometry-optimized PrN2 structure. Source: OQMD via LeMat-Bulk, functional PBE.

Cell and atoms, written as POSCAR:
```
PrN2
1.0
0.0000 5.3391 5.3391
5.3391 0.0000 5.3391
5.3391 5.3391 0.0000
Pr N
2 4
Cartesian
1.3348 1.3348 1.3348
9.3435 9.3435 9.3435
0.0000 0.0000 0.0000
2.6696 2.6696 0.0000
2.6696 0.0000 2.6696
0.0000 2.6696 2.6696
```

---

Entry 4:
A geometry-optimized CsZrAgSe2S structure. Source: OQMD via LeMat-Bulk, functional PBE.

Cell and atoms, written as POSCAR:
```
CsZrAgSe2S
1.0
2.0078 -8.0536 0.0000
2.0078 8.0536 0.0000
0.0000 0.0000 10.3151
Cs Zr Ag Se S
2 2 2 4 2
Cartesian
2.0078 4.1378 7.7363
2.0078 -4.1378 2.5788
2.0078 0.0000 0.0000
2.0078 0.0000 5.1576
2.0078 7.3949 2.5788
2.0078 -7.3949 7.7363
2.0078 6.1772 0.3128
2.0078 6.1772 4.8448
2.0078 -6.1772 5.4703
2.0078 -6.1772 10.0023
2.0078 0.8701 2.5788
2.0078 -0.8701 7.7363
```

---

Entry 5:
A geometry-optimized AcZn structure. Source: OQMD via LeMat-Bulk, functional PBE.

Cell and atoms, written as POSCAR:
```
AcZn
1.0
7.2038 0.0000 0.0000
-3.6019 6.2387 0.0000
0.0000 0.0000 5.4043
Ac Zn
4 4
Cartesian
0.0000 0.0000 0.0000
1.8897 1.0910 2.7022
5.3142 1.0910 2.7022
3.6019 4.0567 2.7022
-1.4608 3.3158 0.0000
0.0000 4.1591 2.7022
1.4608 3.3158 0.0000
0.0000 5.8459 0.0000
```

Results
Energy of formation from the pure elements ... 0.210 eV per atom

---

Entry 6:
A geometry-optimized Li2TcSb structure. Source: OQMD via LeMat-Bulk, functional PBE.

Cell and atoms, written as POSCAR:
```
Li2TcSb
1.0
0.0000 3.1317 3.1317
3.1317 0.0000 3.1317
3.1317 3.1317 0.0000
Li Tc Sb
2 1 1
Cartesian
0.0000 0.0000 0.0000
1.5659 1.5659 1.5659
4.6976 4.6976 4.6976
3.1317 3.1317 3.1317
```

---

| no. | final energy (eV/atom) |
| --- | --- |
| 1 | -4.314 |
| 2 | -6.475 |
| 3 | -6.038 |
| 4 | -4.968 |
| 5 | -2.475 |
| 6 | -4.667 |